V3InCu: optimized geometry, GGA-PBE.

Output
For the energy of formation from the pure elements, the calculation gives 1898.4 meV/atom. The calculation puts the calculated total energy at -4.9396 eV/atom. The calculation puts the distance to the lowest polymorph of the same formula at 91.54 kJ per mole of atoms.

Structure (extended XYZ):
```
5
Lattice="5.032 0.000 0.000 0.000 5.032 0.000 0.000 0.000 5.032" Properties=species:S:1:pos:R:3 pbc="T T T"
V 0.000 0.000 2.516
V 0.000 2.516 0.000
V 2.516 0.000 0.000
In 0.000 0.000 0.000
Cu 2.516 2.516 2.516
```

CuAg3S: optimized geometry, GGA-PBE.

Output
The calculation puts the calculated total energy at -2.6487 eV/atom. The calculation puts the distance to the lowest polymorph of the same formula at 14.95 kJ per mole of atoms. The value obtained for the uncorrected formation energy is 0.707 eV/atom.

Structure (extended XYZ):
```
5
Lattice="4.784 0.000 0.000 0.000 4.784 0.000 0.000 0.000 4.784" Properties=species:S:1:pos:R:3 pbc="T T T"
Cu 0.000 0.000 0.000
Ag 0.000 0.000 2.392
Ag 0.000 2.392 0.000
Ag 2.392 0.000 0.000
S 2.392 2.392 2.392
```

ZnInHg2Bi: optimized geometry, GGA-PBE.

Output
For the energy of formation from the pure elements, the calculation gives 189.9 meV/atom. The calculation puts the calculated total energy at -1.5095 eV/atom.

Structure (extended XYZ):
```
5
Lattice="5.187 0.000 0.000 0.000 5.187 0.000 0.000 0.000 5.611" Properties=species:S:1:pos:R:3 pbc="T T T"
Zn 0.000 0.000 0.000
In 2.594 2.594 2.805
Hg 0.000 2.594 0.000
Hg 2.594 0.000 0.000
Bi 0.000 0.000 2.805
```

Y3PPd: optimized geometry, GGA-PBE.

Output
For the energy of formation from the pure elements, the calculation gives -449.1 meV/atom. The calculation puts the calculated total energy at -6.4480 eV/atom. The calculation puts the distance to the lowest polymorph of the same formula at 0.00 kJ per mole of atoms.

Structure (extended XYZ):
```
5
Lattice="5.211 0.000 0.000 0.000 5.211 0.000 0.000 0.000 5.211" Properties=species:S:1:pos:R:3 pbc="T T T"
Y 0.000 0.000 2.605
Y 0.000 2.605 0.000
Y 2.605 0.000 0.000
P 0.000 0.000 0.000
Pd 2.605 2.605 2.605
```

Ca6RhAu5: optimized geometry, GGA-PBE.

Output
For the energy of formation from the pure elements, the calculation gives -711.1 meV/atom. The calculation puts the calculated total energy at -3.6900 eV/atom.

Structure (extended XYZ):
```
12
Lattice="8.000 -3.641 0.000 8.000 3.641 0.000 -1.576 0.000 4.835" Properties=species:S:1:pos:R:3 pbc="T T T"
Ca 4.867 1.860 1.635
Ca 8.000 1.895 0.000
Ca 9.557 1.860 3.200
Ca 4.867 -1.860 1.635
Ca 8.000 -1.895 0.000
Ca 9.557 -1.860 3.200
Rh -0.788 0.000 2.418
Au 2.417 0.000 0.809
Au 4.011 0.000 4.033
Au 7.212 0.000 2.418
Au 10.412 0.000 0.802
Au 12.007 0.000 4.026
```

TaNiRh2: optimized geometry, GGA-PBE.

Output
For the energy of formation from the pure elements, the calculation gives -272.2 meV/atom. The calculation puts the calculated total energy at -8.3564 eV/atom.

Structure (extended XYZ):
```
4
Lattice="4.433 -1.399 0.000 4.433 1.399 0.000 -0.851 0.000 4.638" Properties=species:S:1:pos:R:3 pbc="T T T"
Ta 0.000 0.000 0.000
Ni 4.008 0.000 2.319
Rh 1.569 0.000 3.425
Rh 6.447 0.000 1.212
```

CaLaGe4: optimized geometry, GGA-PBE.

Output
For the energy of formation from the pure elements, the calculation gives -407.9 meV/atom. The calculation puts the calculated total energy at -4.6410 eV/atom. The calculation puts the distance to the lowest polymorph of the same formula at 2.26 kJ per mole of atoms.

Structure (extended XYZ):
```
6
Lattice="0.000 4.068 4.068 4.068 0.000 4.068 4.068 4.068 0.000" Properties=species:S:1:pos:R:3 pbc="T T T"
Ca 0.000 0.000 0.000
La 2.034 2.034 2.034
Ge 5.090 3.046 3.046
Ge 3.046 5.090 3.046
Ge 3.046 3.046 5.090
Ge 5.090 5.090 5.090
```

ZnCuCl2: optimized geometry, GGA-PBE.

Output
The calculation puts the calculated total energy at -2.6264 eV/atom. The calculation puts the distance to the lowest polymorph of the same formula at 7.41 kJ per mole of atoms. The value obtained for the uncorrected formation energy is -0.361 eV/atom.

Structure (extended XYZ):
```
4
Lattice="1.681 -3.520 0.000 1.681 3.520 0.000 0.000 0.000 8.636" Properties=species:S:1:pos:R:3 pbc="T T T"
Zn 0.000 0.000 0.000
Cu 1.681 0.000 6.758
Cl 0.000 0.000 5.269
Cl 1.681 0.000 1.603
```

PrSnB: optimized geometry, GGA-PBE.

Output
For the energy of formation from the pure elements, the calculation gives -352.0 meV/atom. The calculation puts the calculated total energy at -5.5052 eV/atom.

Structure (extended XYZ):
```
6
Lattice="3.299 0.000 0.000 -0.055 4.046 0.000 -0.032 -2.018 9.597" Properties=species:S:1:pos:R:3 pbc="T T T"
Pr 0.784 1.009 3.083
Pr 2.428 1.019 6.515
Sn 0.796 -1.008 8.768
Sn 2.416 3.036 0.829
B 0.812 -1.011 4.978
B 2.400 3.039 4.619
```

NdEr3Pd: optimized geometry, GGA-PBE.

Output
For the energy of formation from the pure elements, the calculation gives -188.4 meV/atom. The calculation puts the calculated total energy at -4.9183 eV/atom. The calculation puts the distance to the lowest polymorph of the same formula at 8.99 kJ per mole of atoms.

Structure (extended XYZ):
```
5
Lattice="5.434 0.000 0.000 0.000 5.434 0.000 0.000 0.000 5.434" Properties=species:S:1:pos:R:3 pbc="T T T"
Nd 0.000 0.000 0.000
Er 0.000 2.717 2.717
Er 2.717 0.000 2.717
Er 2.717 2.717 0.000
Pd 2.717 2.717 2.717
```

As2RuPb: optimized geometry, GGA-PBE.

Output
For the energy of formation from the pure elements, the calculation gives 30.5 meV/atom. The calculation puts the calculated total energy at -5.5403 eV/atom.

Structure (extended XYZ):
```
4
Lattice="-1.532 1.568 8.879 1.532 -1.568 8.879 1.532 1.568 -8.879" Properties=species:S:1:pos:R:3 pbc="T T T"
As 0.000 0.000 0.000
As 0.000 1.568 3.281
Ru 0.000 0.000 10.188
Pb 1.532 0.000 5.942
```

PmZnAgAs: optimized geometry, GGA-PBE.

Output
For the energy of formation from the pure elements, the calculation gives -316.9 meV/atom. The calculation puts the calculated total energy at -3.6982 eV/atom.

Structure (extended XYZ):
```
4
Lattice="0.000 3.500 3.500 3.500 0.000 3.500 3.500 3.500 0.000" Properties=species:S:1:pos:R:3 pbc="T T T"
Pm 0.000 0.000 0.000
Zn 3.500 3.500 3.500
Ag 1.750 1.750 1.750
As 5.249 5.249 5.249
```

MnCuW2: optimized geometry, GGA-PBE.

Output
For the energy of formation from the pure elements, the calculation gives 834.0 meV/atom. The calculation puts the calculated total energy at -8.9590 eV/atom. The calculation puts the distance to the lowest polymorph of the same formula at 57.69 kJ per mole of atoms.

Structure (extended XYZ):
```
8
Lattice="-3.397 3.397 2.613 3.397 -3.397 2.613 3.397 3.397 -2.613" Properties=species:S:1:pos:R:3 pbc="T T T"
Mn 0.000 0.000 0.000
Mn 0.000 3.397 1.306
Cu 3.397 0.000 1.306
Cu 0.000 0.000 2.613
W 1.698 1.493 -0.653
W 1.903 -1.698 3.266
W 1.698 1.903 1.960
W 1.493 5.095 0.653
```

Cd6Sn: optimized geometry, GGA-PBE.

Output
For the energy of formation from the pure elements, the calculation gives 68.9 meV/atom. The calculation puts the calculated total energy at -1.2874 eV/atom. The calculation puts the distance to the lowest polymorph of the same formula at 0.14 kJ per mole of atoms.

Structure (extended XYZ):
```
7
Lattice="4.993 0.000 0.000 0.000 4.993 0.000 0.000 0.000 7.117" Properties=species:S:1:pos:R:3 pbc="T T T"
Cd 0.000 0.000 0.000
Cd 0.000 2.497 1.593
Cd 0.000 2.497 5.524
Cd 2.497 0.000 1.593
Cd 2.497 0.000 5.524
Cd 2.497 2.497 3.559
Sn 0.000 0.000 3.559
```

AlCdGe2S6: optimized geometry, GGA-PBE.

Output
The calculation puts the calculated total energy at -4.2637 eV/atom. The value obtained for the uncorrected formation energy is -0.398 eV/atom.

Structure (extended XYZ):
```
20
Lattice="6.658 -6.571 0.000 6.658 6.571 0.000 -3.096 0.000 6.077" Properties=species:S:1:pos:R:3 pbc="T T T"
Al 4.336 4.073 4.558
Al 5.884 -4.073 1.519
Cd 5.884 3.798 1.519
Cd 4.336 -3.798 4.558
Ge 2.922 1.041 1.818
Ge 1.374 -1.041 4.857
Ge 8.846 1.041 1.220
Ge 7.298 -1.041 4.258
S 7.586 -5.323 0.649
S 2.634 5.323 5.428
S 3.647 3.212 2.561
S 6.038 5.323 3.688
S 4.551 0.712 0.240
S 8.121 3.212 0.477
S 3.003 -0.712 3.279
S 7.217 0.712 2.798
S 2.099 -3.212 5.599
S 5.670 -0.712 5.837
S 4.182 -5.323 2.389
S 6.573 -3.212 3.516
```

Bi2PbS5: optimized geometry, GGA-PBE.

Output
The calculation puts the calculated total energy at -4.2250 eV/atom. The value obtained for the uncorrected formation energy is -0.212 eV/atom.

Structure (extended XYZ):
```
16
Lattice="2.811 -7.525 0.000 2.811 7.525 0.000 0.000 0.000 12.548" Properties=species:S:1:pos:R:3 pbc="T T T"
Bi 2.811 5.001 7.164
Bi 2.811 5.001 11.657
Bi 2.811 -5.001 0.891
Bi 2.811 -5.001 5.383
Pb 2.811 4.914 3.137
Pb 2.811 -4.914 9.411
S 2.811 7.149 1.003
S 2.811 7.149 5.270
S 2.811 3.421 9.411
S 2.811 3.020 0.978
S 2.811 3.020 5.296
S 2.811 -3.020 7.252
S 2.811 -3.020 11.570
S 2.811 -3.421 3.137
S 2.811 -7.149 7.277
S 2.811 -7.149 11.544
```

CsHf3Si: optimized geometry, GGA-PBE.

Output
The calculation puts the calculated total energy at -6.3275 eV/atom. The calculation puts the distance to the lowest polymorph of the same formula at 0.00 kJ per mole of atoms. The value obtained for the uncorrected formation energy is 0.900 eV/atom.

Structure (extended XYZ):
```
5
Lattice="5.151 0.000 0.000 0.000 5.151 0.000 0.000 0.000 5.151" Properties=species:S:1:pos:R:3 pbc="T T T"
Cs 0.000 0.000 0.000
Hf 0.000 2.575 2.575
Hf 2.575 0.000 2.575
Hf 2.575 2.575 0.000
Si 2.575 2.575 2.575
```

Mg3HgSe: optimized geometry, GGA-PBE.

Output
The calculation puts the calculated total energy at -1.6613 eV/atom. The calculation puts the distance to the lowest polymorph of the same formula at 11.12 kJ per mole of atoms. The value obtained for the uncorrected formation energy is 0.053 eV/atom.

Structure (extended XYZ):
```
5
Lattice="5.197 0.000 0.000 0.000 5.197 0.000 0.000 0.000 5.197" Properties=species:S:1:pos:R:3 pbc="T T T"
Mg 0.000 0.000 2.599
Mg 0.000 2.599 0.000
Mg 2.599 0.000 0.000
Hg 0.000 0.000 0.000
Se 2.599 2.599 2.599
```

LiCa2BeSn: optimized geometry, GGA-PBE.

Output
For the energy of formation from the pure elements, the calculation gives 407.2 meV/atom. The calculation puts the calculated total energy at -2.3220 eV/atom.

Structure (extended XYZ):
```
5
Lattice="5.962 0.000 0.000 0.000 5.962 0.000 0.000 0.000 5.064" Properties=species:S:1:pos:R:3 pbc="T T T"
Li 0.000 0.000 0.000
Ca 0.000 2.981 2.532
Ca 2.981 0.000 2.532
Be 2.981 2.981 0.000
Sn 0.000 0.000 2.532
```

As3Rh: optimized geometry, GGA-PBE.

Output
For the energy of formation from the pure elements, the calculation gives 99.7 meV/atom. The calculation puts the calculated total energy at -5.2253 eV/atom. The calculation puts the distance to the lowest polymorph of the same formula at 52.32 kJ per mole of atoms.

Structure (extended XYZ):
```
4
Lattice="3.447 0.000 0.000 0.000 4.130 0.000 0.000 0.000 5.305" Properties=species:S:1:pos:R:3 pbc="T T T"
As 0.000 0.000 0.000
As 0.000 2.065 1.799
As 1.723 0.000 3.376
Rh 1.723 2.065 5.229
```